Entry 1:
Density functional theory data (PBE-GGA) for Tm2Ni3Ge4 after structural relaxation.

The calculation puts the formation enthalpy at 0 K at -0.625 eV/atom.

It has space group Cmce (No. 64), with a = 5.5560 Å, b = 14.3634 Å, c = 7.2148 Å, α = 90.00°, β = 90.00° and γ = 90.00°. The inequivalent atoms are Tm at (0.0000, 0.1106, 0.0930), Ni at (0.0000, 0.0000, 0.5000), Ni at (0.2500, 0.2263, 0.7500), Ge at (0.0000, 0.1831, 0.4736) and Ge at (0.2500, 0.0582, 0.7500).

Entry 2:
Density functional theory data (PBE-GGA) for Tm2NiGe after structural relaxation.

The calculation puts the formation enthalpy at 0 K at -0.559 eV/atom.

It has space group P4/mmm (No. 123), with a = 3.3857 Å, b = 3.3857 Å, c = 7.0341 Å, α = 90.00°, β = 90.00° and γ = 90.00°. The inequivalent atoms are Tm at (0.0000, 0.0000, 0.2327), Ni at (0.5000, 0.5000, 0.0000) and Ge at (0.5000, 0.5000, 0.5000).

no.,calculated volume (Å³/atom)
1,15.993
2,20.157